Record 1
! Sb2RhPb (PBE, relaxed); values from VASP
! Total magnetic moment in μB per cell: 0.0
! E_form (uncorrected) in eV/f.u.: 0.06
&SYSTEM
  ibrav = 0, nat = 4, ntyp = 3
/
ATOMIC_SPECIES
Sb 121.76 Sb.upf
Rh 102.91 Rh.upf
Pb 207.20 Pb.upf
CELL_PARAMETERS angstrom
-3.2998 1.6550 -8.6836
-1.7023 -1.4518 -9.1666
-4.9901 -1.3383 -7.8956
ATOMIC_POSITIONS crystal
Sb 0.9815 0.9815 0.9815
Sb 0.7490 0.7490 0.7490
Rh 0.2559 0.2559 0.2559
Pb 0.5136 0.5136 0.5136

Record 2
! NbSe2F (PBE, relaxed); values from VASP
! Total magnetic moment in μB per cell: 0.0
! E_form (uncorrected) in eV/f.u.: -2.47
! Offset from the most stable computed form in eV/f.u.: 2.541
&SYSTEM
  ibrav = 0, nat = 8, ntyp = 3
/
ATOMIC_SPECIES
Nb 92.91 Nb.upf
Se 78.96 Se.upf
F 19.00 F.upf
CELL_PARAMETERS angstrom
6.1995 0.0000 0.0000
0.0000 6.1995 0.0000
3.0998 3.0998 5.0959
ATOMIC_POSITIONS crystal
Nb 0.0000 0.0000 0.0000
Nb 0.7500 0.2500 0.5000
Se 0.6488 0.1250 0.2500
Se 0.1012 0.6250 0.2500
Se 0.3750 0.3512 0.7500
Se 0.8750 0.8988 0.7500
F 0.5000 0.5000 0.0000
F 0.2500 0.7500 0.5000

Record 3
! CaAu (PBE, relaxed); values from VASP
! Total magnetic moment in μB per cell: 0.0
! E_form in eV per formula unit: -1.43
&SYSTEM
  ibrav = 0, nat = 4, ntyp = 2
/
ATOMIC_SPECIES
Ca 40.08 Ca.upf
Au 196.97 Au.upf
CELL_PARAMETERS angstrom
-4.0860 -0.3485 1.8950
0.8374 -2.0236 -3.9512
1.8571 -5.1875 3.0503
ATOMIC_POSITIONS crystal
Ca 0.3333 0.6667 0.2500
Ca 0.6667 0.3333 0.7500
Au 0.0000 0.0000 0.0000
Au 0.0000 0.0000 0.5000

Look up the total magnetic moment of the second one. 0.0 μB per cell

What is the total magnetic moment in the third record? 0.0 μB per cell

What is the formula in the third record? CaAu